# 1
{"formula": "Er6TlCd3", "functional": "GGA-PBE", "state": "optimized geometry", "m_tot_mub_per_cell": 0.000, "energy_ha_per_atom": -0.1275, "space_group": "P2_1/m (11)", "vol_a3_per_cell": 538, "e_form_ev_per_atom": -0.220, "dos_at_fermi_per_ev_atom": 0.85, "lattice_angstrom": [[9.3050, 0.0000, 0.0000], [0.0000, 5.2408, 0.0000], [-3.3272, 0.0000, 11.0302]], "species": ["Er", "Er", "Er", "Er", "Er", "Er", "Er", "Er", "Er", "Er", "Er", "Er", "Tl", "Tl", "Cd", "Cd", "Cd", "Cd", "Cd", "Cd"], "frac_coords": [[0.0391, 0.2500, 0.4097], [0.1514, 0.7500, 0.1777], [0.2483, 0.2500, 0.0000], [0.3341, 0.7500, 0.8053], [0.3688, 0.2500, 0.3297], [0.3942, 0.2500, 0.6160], [0.6058, 0.7500, 0.3840], [0.6312, 0.7500, 0.6703], [0.6659, 0.2500, 0.1947], [0.7517, 0.7500, 0.0000], [0.8486, 0.2500, 0.8223], [0.9609, 0.7500, 0.5903], [0.4515, 0.7500, 0.1084], [0.5485, 0.2500, 0.8916], [0.0274, 0.7500, 0.8790], [0.1169, 0.2500, 0.7141], [0.2751, 0.7500, 0.4722], [0.7249, 0.2500, 0.5278], [0.8831, 0.7500, 0.2859], [0.9726, 0.2500, 0.1210]]}

# 2
{"formula": "CaGa2SiRu2", "functional": "GGA-PBE", "state": "optimized geometry", "m_tot_mub_per_cell": 0.000, "energy_ha_per_atom": -0.2090, "space_group": "P4/mmm (123)", "vol_a3_per_cell": 112, "dos_at_fermi_per_ev_atom": 0.25, "lattice_angstrom": [[4.4399, 0.0000, 0.0000], [0.0000, 4.4399, 0.0000], [0.0000, 0.0000, 5.6930]], "species": ["Ca", "Ga", "Ga", "Si", "Ru", "Ru"], "frac_coords": [[0.0000, 0.0000, 0.0000], [0.5000, 0.5000, 0.2301], [0.5000, 0.5000, 0.7699], [0.0000, 0.0000, 0.5000], [0.0000, 0.5000, 0.5000], [0.5000, 0.0000, 0.5000]]}

# 3
{"formula": "ErAlSi2Ni4", "functional": "GGA-PBE", "state": "optimized geometry", "m_tot_mub_per_cell": 0.000, "energy_ha_per_atom": -0.2166, "space_group": "R-3m (166)", "vol_a3_per_cell": 109, "dos_at_fermi_per_ev_atom": 0.64, "lattice_angstrom": [[1.9714, 1.1382, 8.1268], [-1.9714, 1.1382, 8.1268], [0.0000, -2.2764, 8.1268]], "species": ["Er", "Al", "Si", "Si", "Ni", "Ni", "Ni", "Ni"], "frac_coords": [[0.0000, 0.0000, 0.0000], [0.5000, 0.5000, 0.5000], [0.2439, 0.2439, 0.2439], [0.7561, 0.7561, 0.7561], [0.1321, 0.1321, 0.1321], [0.4057, 0.4057, 0.4057], [0.5943, 0.5943, 0.5943], [0.8679, 0.8679, 0.8679]]}

# 4
{"formula": "Cs2RbSb2", "functional": "GGA-PBE", "state": "optimized geometry", "m_tot_mub_per_cell": 0.000, "de_polymorph_mev_per_atom": 18, "energy_ha_per_atom": -0.0924, "space_group": "C2/m (12)", "vol_a3_per_cell": 514, "dos_at_fermi_per_ev_atom": 0.11, "lattice_angstrom": [[12.8347, 0.0000, 0.0000], [0.0000, 5.2621, 0.0000], [-0.7366, 0.0000, 7.6081]], "species": ["Cs", "Cs", "Cs", "Cs", "Rb", "Rb", "Sb", "Sb", "Sb", "Sb"], "frac_coords": [[0.1370, 0.0000, 0.3636], [0.3630, 0.5000, 0.6364], [0.6370, 0.5000, 0.3636], [0.8630, 0.0000, 0.6364], [0.0000, 0.5000, 0.0000], [0.5000, 0.0000, 0.0000], [0.2153, 0.0000, 0.9049], [0.2847, 0.5000, 0.0951], [0.7153, 0.5000, 0.9049], [0.7847, 0.0000, 0.0951]]}

# 5
{"formula": "CrAg2Os", "functional": "GGA-PBE", "state": "optimized geometry", "m_tot_mub_per_cell": 0.000, "de_polymorph_mev_per_atom": 0, "energy_ha_per_atom": -0.2324, "space_group": "R3m (160)", "vol_a3_per_cell": 185, "e_form_ev_per_atom": 0.314, "dos_at_fermi_per_ev_atom": 0.53, "lattice_angstrom": [[2.7463, 0.0000, 0.0000], [-1.3732, 2.3784, 0.0000], [0.0000, 0.0000, 28.3726]], "species": ["Cr", "Cr", "Cr", "Ag", "Ag", "Ag", "Ag", "Ag", "Ag", "Os", "Os", "Os"], "frac_coords": [[0.0000, 0.0000, 0.0000], [0.3333, 0.6667, 0.6667], [0.6667, 0.3333, 0.3333], [0.0000, 0.0000, 0.2494], [0.0000, 0.0000, 0.4920], [0.3333, 0.6667, 0.1587], [0.3333, 0.6667, 0.9160], [0.6667, 0.3333, 0.5827], [0.6667, 0.3333, 0.8254], [0.0000, 0.0000, 0.7351], [0.3333, 0.6667, 0.4018], [0.6667, 0.3333, 0.0685]]}

# 6
{"formula": "ScNi", "functional": "GGA-PBE", "state": "optimized geometry", "m_tot_mub_per_cell": 0.000, "energy_ha_per_atom": -0.2249, "space_group": "P-3m1 (164)", "vol_a3_per_cell": 74, "e_form_ev_per_atom": -0.064, "dos_at_fermi_per_ev_atom": 0.58, "lattice_angstrom": [[3.3799, 0.0000, 0.0000], [-1.6900, 2.9271, 0.0000], [0.0000, 0.0000, 7.4792]], "species": ["Sc", "Sc", "Ni", "Ni"], "frac_coords": [[0.3333, 0.6667, 0.3090], [0.6667, 0.3333, 0.6910], [0.3333, 0.6667, 0.9091], [0.6667, 0.3333, 0.0909]]}

# 7
{"formula": "Ga2CuIr", "functional": "GGA-PBE", "state": "optimized geometry", "m_tot_mub_per_cell": 0.000, "energy_ha_per_atom": -0.1812, "space_group": "P4/mmm (123)", "vol_a3_per_cell": 57, "e_form_ev_per_atom": -0.179, "dos_at_fermi_per_ev_atom": 0.29, "lattice_angstrom": [[4.4432, 0.0000, 0.0000], [0.0000, 4.4432, 0.0000], [0.0000, 0.0000, 2.8813]], "species": ["Ga", "Ga", "Cu", "Ir"], "frac_coords": [[0.0000, 0.5000, 0.0000], [0.5000, 0.0000, 0.0000], [0.0000, 0.0000, 0.5000], [0.5000, 0.5000, 0.5000]]}

# 8
{"formula": "BeTlNi2", "functional": "GGA-PBE", "state": "optimized geometry", "m_tot_mub_per_cell": 0.000, "de_polymorph_mev_per_atom": 124, "energy_ha_per_atom": -0.1542, "space_group": "Fm-3m (225)", "vol_a3_per_cell": 212, "e_form_ev_per_atom": 0.218, "dos_at_fermi_per_ev_atom": 0.57, "lattice_angstrom": [[5.9620, 0.0000, 0.0000], [0.0000, 5.9620, 0.0000], [0.0000, 0.0000, 5.9620]], "species": ["Be", "Be", "Be", "Be", "Tl", "Tl", "Tl", "Tl", "Ni", "Ni", "Ni", "Ni", "Ni", "Ni", "Ni", "Ni"], "frac_coords": [[0.0000, 0.0000, 0.0000], [0.0000, 0.5000, 0.5000], [0.5000, 0.0000, 0.5000], [0.5000, 0.5000, 0.0000], [0.0000, 0.0000, 0.5000], [0.0000, 0.5000, 0.0000], [0.5000, 0.0000, 0.0000], [0.5000, 0.5000, 0.5000], [0.2500, 0.2500, 0.2500], [0.2500, 0.2500, 0.7500], [0.2500, 0.7500, 0.2500], [0.2500, 0.7500, 0.7500], [0.7500, 0.2500, 0.2500], [0.7500, 0.2500, 0.7500], [0.7500, 0.7500, 0.2500], [0.7500, 0.7500, 0.7500]]}

# 9
{"formula": "LaPu2ThS4", "functional": "GGA-PBE", "state": "optimized geometry", "m_tot_mub_per_cell": 11.176, "energy_ha_per_atom": -0.3337, "space_group": "P2/m (10)", "vol_a3_per_cell": 184, "dos_at_fermi_per_ev_atom": 1.69, "lattice_angstrom": [[6.9604, 0.0000, 0.0000], [0.0000, 4.0016, 0.0000], [-2.3028, 0.0000, 6.6123]], "species": ["La", "Pu", "Pu", "Th", "S", "S", "S", "S"], "frac_coords": [[0.0000, 0.0000, 0.0000], [0.0000, 0.5000, 0.5000], [0.5000, 0.0000, 0.5000], [0.5000, 0.5000, 0.0000], [0.2490, 0.0000, 0.7377], [0.2582, 0.5000, 0.2641], [0.7418, 0.5000, 0.7359], [0.7510, 0.0000, 0.2623]]}

# 10
{"formula": "Pr3Dy6Sc2", "functional": "GGA-PBE", "state": "optimized geometry", "m_tot_mub_per_cell": 1.444, "energy_ha_per_atom": -0.1581, "space_group": "R-3m (166)", "vol_a3_per_cell": 379, "e_form_ev_per_atom": 0.664, "dos_at_fermi_per_ev_atom": 2.00, "lattice_angstrom": [[2.3485, 1.3559, 19.8403], [-2.3485, 1.3559, 19.8403], [0.0000, -2.7118, 19.8403]], "species": ["Pr", "Pr", "Pr", "Dy", "Dy", "Dy", "Dy", "Dy", "Dy", "Sc", "Sc"], "frac_coords": [[0.0000, 0.0000, 0.0000], [0.2662, 0.2662, 0.2662], [0.7338, 0.7338, 0.7338], [0.1189, 0.1189, 0.1189], [0.1843, 0.1843, 0.1843], [0.3663, 0.3663, 0.3663], [0.6337, 0.6337, 0.6337], [0.8157, 0.8157, 0.8157], [0.8811, 0.8811, 0.8811], [0.4286, 0.4286, 0.4286], [0.5714, 0.5714, 0.5714]]}

# 11
{"formula": "CsTlF4", "functional": "GGA-PBE", "state": "optimized geometry", "m_tot_mub_per_cell": 0.000, "de_polymorph_mev_per_atom": 42, "energy_ha_per_atom": -0.1459, "space_group": "P2/m (10)", "vol_a3_per_cell": 136, "dos_at_fermi_per_ev_atom": 0.00, "lattice_angstrom": [[4.4412, 0.0000, 0.0000], [0.0000, 4.4412, 0.0000], [-0.0068, 0.0000, 6.9114]], "species": ["Cs", "Tl", "F", "F", "F", "F"], "frac_coords": [[0.0000, 0.0000, 0.0000], [0.5000, 0.5000, 0.5000], [0.0000, 0.5000, 0.5000], [0.5000, 0.0000, 0.5000], [0.4995, 0.5000, 0.1937], [0.5005, 0.5000, 0.8063]]}

# 12
{"formula": "ScRu2Pb", "functional": "GGA-PBE", "state": "optimized geometry", "m_tot_mub_per_cell": 0.000, "energy_ha_per_atom": -0.2691, "space_group": "P4/mmm (123)", "vol_a3_per_cell": 69, "e_form_ev_per_atom": -0.175, "dos_at_fermi_per_ev_atom": 0.65, "lattice_angstrom": [[4.5417, 0.0000, 0.0000], [0.0000, 4.5417, 0.0000], [0.0000, 0.0000, 3.3461]], "species": ["Sc", "Ru", "Ru", "Pb"], "frac_coords": [[0.0000, 0.0000, 0.0000], [0.0000, 0.5000, 0.5000], [0.5000, 0.0000, 0.5000], [0.5000, 0.5000, 0.0000]]}